Entry 1:
Here is a relaxed structure of ZrTa2Mn2 from Alexandria. Energies are from GGA-PBE.

Lattice parameters (Å, degrees): 3.749 3.749 12.673 90.00 90.00 90.00
Space group I4/mmm (No. 139)
Inequivalent atoms, fractional coordinates:
Zr (0.000, 0.000, 0.000) [2 per cell]
Ta (0.000, 0.000, 0.386) [4 per cell]
Mn (0.000, 0.500, 0.250) [4 per cell]

Calculated values
The polymorph energy (0 for the lowest one) is 0.3014 eV/atom. The value obtained for the energy is -9.702 eV per atom. Its formation energy is 0.42 eV/atom.

Entry 2:
Here is a relaxed structure of BaCoAg3 from Alexandria. Energies are from GGA-PBE.

Lattice parameters (Å, degrees): 5.032 5.032 5.032 90.00 90.00 90.00
Space group Pm-3m (No. 221)
Inequivalent atoms, fractional coordinates:
Ba (0.000, 0.000, 0.000) [1 per cell]
Co (0.500, 0.500, 0.500) [1 per cell]
Ag (0.000, 0.500, 0.500) [3 per cell]

Calculated values
The polymorph energy (0 for the lowest one) is 0.0000 eV/atom. The value obtained for the energy is -3.251 eV per atom. Its formation energy is 0.27 eV/atom.

Entry 3:
Here is a relaxed structure of LaAlAs2 from Alexandria. Energies are from GGA-PBE.

Lattice parameters (Å, degrees): 7.158 7.158 7.158 90.00 90.00 90.00
Space group F-43m (No. 216)
Inequivalent atoms, fractional coordinates:
La (0.000, 0.000, 0.000) [4 per cell]
Al (0.250, 0.250, 0.750) [4 per cell]
As (0.000, 0.000, 0.500) [4 per cell]
As (0.250, 0.250, 0.250) [4 per cell]

Calculated values
The value obtained for the energy is -4.718 eV per atom. Its formation energy is -0.23 eV/atom.